1.
# PuCdPb, relaxed, DFT PBE-GGA
# energy relative to the elements: -65 meV/atom
# total moment: 6.18 μB per cell
data_PuCdPb
_chemical_formula_sum 'Pu1 Cd1 Pb1'
_cell_length_a 5.2879
_cell_length_b 5.2879
_cell_length_c 3.3187
_cell_angle_alpha 90.00
_cell_angle_beta 90.00
_cell_angle_gamma 120.00
_symmetry_space_group_name_H-M 'P -6 m 2'
_symmetry_Int_Tables_number 187
_symmetry_space_group_name_Hall 'P -6 2'
loop_
_atom_site_label
_atom_site_type_symbol
_atom_site_fract_x
_atom_site_fract_y
_atom_site_fract_z
Pu1 Pu 0.0000 0.0000 0.0000
Cd1 Cd 0.3333 0.6667 0.5000
Pb1 Pb 0.6667 0.3333 0.5000

---

2.
# PuCdPb, relaxed, DFT PBE-GGA
# energy relative to the elements: 116 meV/atom
# total moment: 23.85 μB per cell
data_PuCdPb
_chemical_formula_sum 'Pu4 Cd4 Pb4'
_cell_length_a 7.2358
_cell_length_b 7.2358
_cell_length_c 7.2358
_cell_angle_alpha 90.00
_cell_angle_beta 90.00
_cell_angle_gamma 90.00
_symmetry_space_group_name_H-M 'F -4 3 m'
_symmetry_Int_Tables_number 216
_symmetry_space_group_name_Hall 'F -4 2 3'
loop_
_atom_site_label
_atom_site_type_symbol
_atom_site_fract_x
_atom_site_fract_y
_atom_site_fract_z
Pu1 Pu 0.0000 0.0000 0.0000
Cd1 Cd 0.0000 0.0000 0.5000
Pb1 Pb 0.2500 0.2500 0.7500

---

3.
# PuCdPb, relaxed, DFT PBE-GGA
# energy relative to the elements: -24 meV/atom
# total moment: 12.13 μB per cell
data_PuCdPb
_chemical_formula_sum 'Pu2 Cd2 Pb2'
_cell_length_a 3.4189
_cell_length_b 3.4189
_cell_length_c 13.9457
_cell_angle_alpha 90.00
_cell_angle_beta 90.00
_cell_angle_gamma 90.00
_symmetry_space_group_name_H-M 'I 4 m m'
_symmetry_Int_Tables_number 107
_symmetry_space_group_name_Hall 'I 4 -2'
loop_
_atom_site_label
_atom_site_type_symbol
_atom_site_fract_x
_atom_site_fract_y
_atom_site_fract_z
Pu1 Pu 0.0000 0.0000 0.0000
Cd1 Cd 0.0000 0.0000 0.3368
Pb1 Pb 0.0000 0.0000 0.6747

---

4.
# PuCdPb4, relaxed, DFT PBE-GGA
# energy relative to the elements: 144 meV/atom
# total moment: 22.26 μB per cell
data_PuCdPb4
_chemical_formula_sum 'Pu4 Cd4 Pb16'
_cell_length_a 9.1091
_cell_length_b 9.1091
_cell_length_c 9.1091
_cell_angle_alpha 90.00
_cell_angle_beta 90.00
_cell_angle_gamma 90.00
_symmetry_space_group_name_H-M 'F -4 3 m'
_symmetry_Int_Tables_number 216
_symmetry_space_group_name_Hall 'F -4 2 3'
loop_
_atom_site_label
_atom_site_type_symbol
_atom_site_fract_x
_atom_site_fract_y
_atom_site_fract_z
Pu1 Pu 0.0000 0.0000 0.0000
Cd1 Cd 0.2500 0.2500 0.2500
Pb1 Pb 0.1254 0.1254 0.6254

---

5.
# Pu4CdPb3, relaxed, DFT PBE-GGA
# energy relative to the elements: -81 meV/atom
# total moment: 23.84 μB per cell
data_Pu4CdPb3
_chemical_formula_sum 'Pu4 Cd1 Pb3'
_cell_length_a 3.1976
_cell_length_b 5.9107
_cell_length_c 11.8130
_cell_angle_alpha 90.00
_cell_angle_beta 90.00
_cell_angle_gamma 90.00
_symmetry_space_group_name_H-M 'P m m m'
_symmetry_Int_Tables_number 47
loop_
_symmetry_equiv_pos_as_xyz
'x,y,z'
'-x,-y,-z'
'-x,-y,z'
'x,y,-z'
'x,-y,-z'
'-x,y,z'
'-x,y,-z'
'x,-y,z'
loop_
_atom_site_label
_atom_site_type_symbol
_atom_site_fract_x
_atom_site_fract_y
_atom_site_fract_z
Pu1 Pu 0.0000 0.0000 0.0000
Pu2 Pu 0.0000 0.0000 0.5000
Pu3 Pu 0.0000 0.5000 0.2499
Cd1 Cd 0.5000 0.5000 0.0000
Pb1 Pb 0.5000 0.0000 0.2452
Pb2 Pb 0.5000 0.5000 0.5000

---

6.
# PuCdPb, relaxed, DFT PBE-GGA
# energy relative to the elements: -61 meV/atom
# total moment: 17.72 μB per cell
data_PuCdPb
_chemical_formula_sum 'Pu3 Cd3 Pb3'
_cell_length_a 7.6167
_cell_length_b 7.6167
_cell_length_c 4.9632
_cell_angle_alpha 90.00
_cell_angle_beta 90.00
_cell_angle_gamma 120.00
_symmetry_space_group_name_H-M 'P -6 2 m'
_symmetry_Int_Tables_number 189
_symmetry_space_group_name_Hall 'P -6 -2'
loop_
_atom_site_label
_atom_site_type_symbol
_atom_site_fract_x
_atom_site_fract_y
_atom_site_fract_z
Pu1 Pu 0.0000 0.5655 0.0000
Cd1 Cd 0.0000 0.2399 0.5000
Pb1 Pb 0.0000 0.0000 0.0000
Pb2 Pb 0.3333 0.6667 0.5000

---

7.
# Pu2CdPb, relaxed, DFT PBE-GGA
# energy relative to the elements: -50 meV/atom
# total moment: 48.60 μB per cell
data_Pu2CdPb
_chemical_formula_sum 'Pu8 Cd4 Pb4'
_cell_length_a 7.6393
_cell_length_b 7.6393
_cell_length_c 7.6393
_cell_angle_alpha 90.00
_cell_angle_beta 90.00
_cell_angle_gamma 90.00
_symmetry_space_group_name_H-M 'F m -3 m'
_symmetry_Int_Tables_number 225
_symmetry_space_group_name_Hall '-F 4 2 3'
loop_
_atom_site_label
_atom_site_type_symbol
_atom_site_fract_x
_atom_site_fract_y
_atom_site_fract_z
Pu1 Pu 0.2500 0.2500 0.2500
Cd1 Cd 0.0000 0.0000 0.0000
Pb1 Pb 0.0000 0.0000 0.5000

---

8.
# PuCd2Pb, relaxed, DFT PBE-GGA
# energy relative to the elements: -25 meV/atom
# total moment: 6.07 μB per cell
data_PuCd2Pb
_chemical_formula_sum 'Pu1 Cd2 Pb1'
_cell_length_a 3.2092
_cell_length_b 4.8917
_cell_length_c 6.7013
_cell_angle_alpha 90.00
_cell_angle_beta 90.00
_cell_angle_gamma 90.00
_symmetry_space_group_name_H-M 'P m m m'
_symmetry_Int_Tables_number 47
loop_
_symmetry_equiv_pos_as_xyz
'x,y,z'
'-x,-y,-z'
'-x,-y,z'
'x,y,-z'
'x,-y,-z'
'-x,y,z'
'-x,y,-z'
'x,-y,z'
loop_
_atom_site_label
_atom_site_type_symbol
_atom_site_fract_x
_atom_site_fract_y
_atom_site_fract_z
Pu1 Pu 0.0000 0.0000 0.0000
Cd1 Cd 0.5000 0.5000 0.2428
Pb1 Pb 0.0000 0.0000 0.5000

---

9.
# PuCd2Pb3, relaxed, DFT PBE-GGA
# energy relative to the elements: -42 meV/atom
# total moment: 11.59 μB per cell
data_PuCd2Pb3
_chemical_formula_sum 'Pu2 Cd4 Pb6'
_cell_length_a 4.8007
_cell_length_b 14.8704
_cell_length_c 4.6073
_cell_angle_alpha 90.00
_cell_angle_beta 90.00
_cell_angle_gamma 90.00
_symmetry_space_group_name_H-M 'C m m m'
_symmetry_Int_Tables_number 65
_symmetry_space_group_name_Hall '-C 2 2'
loop_
_atom_site_label
_atom_site_type_symbol
_atom_site_fract_x
_atom_site_fract_y
_atom_site_fract_z
Pu1 Pu 0.0000 0.0000 0.0000
Cd1 Cd 0.0000 0.3327 0.0000
Pb1 Pb 0.0000 0.1688 0.5000
Pb2 Pb 0.0000 0.5000 0.5000

---

10.
# PuCd2Pb, relaxed, DFT PBE-GGA
# energy relative to the elements: -27 meV/atom
# total moment: 17.75 μB per cell
data_PuCd2Pb
_chemical_formula_sum 'Pu3 Cd6 Pb3'
_cell_length_a 5.2845
_cell_length_b 5.2845
_cell_length_c 12.9668
_cell_angle_alpha 90.00
_cell_angle_beta 90.00
_cell_angle_gamma 120.00
_symmetry_space_group_name_H-M 'R 3 m'
_symmetry_Int_Tables_number 160
_symmetry_space_group_name_Hall 'R 3 -2"'
loop_
_atom_site_label
_atom_site_type_symbol
_atom_site_fract_x
_atom_site_fract_y
_atom_site_fract_z
Pu1 Pu 0.0000 0.0000 0.0000
Cd1 Cd 0.0000 0.0000 0.2498
Cd2 Cd 0.0000 0.0000 0.5003
Pb1 Pb 0.0000 0.0000 0.7502

---

11.
# PuCd2Pb, relaxed, DFT PBE-GGA
# energy relative to the elements: -11 meV/atom
# total moment: 5.90 μB per cell
data_PuCd2Pb
_chemical_formula_sum 'Pu1 Cd2 Pb1'
_cell_length_a 3.2305
_cell_length_b 3.2305
_cell_length_c 10.0985
_cell_angle_alpha 90.00
_cell_angle_beta 90.00
_cell_angle_gamma 90.00
_symmetry_space_group_name_H-M 'P 4/m m m'
_symmetry_Int_Tables_number 123
_symmetry_space_group_name_Hall '-P 4 2'
loop_
_atom_site_label
_atom_site_type_symbol
_atom_site_fract_x
_atom_site_fract_y
_atom_site_fract_z
Pu1 Pu 0.0000 0.0000 0.0000
Cd1 Cd 0.5000 0.5000 0.2413
Pb1 Pb 0.0000 0.0000 0.5000

---

12.
# Pu2CdPb4, relaxed, DFT PBE-GGA
# energy relative to the elements: -50 meV/atom
# total moment: 22.70 μB per cell
data_Pu2CdPb4
_chemical_formula_sum 'Pu4 Cd2 Pb8'
_cell_length_a 7.7431
_cell_length_b 10.5402
_cell_length_c 5.1848
_cell_angle_alpha 90.00
_cell_angle_beta 90.00
_cell_angle_gamma 90.00
_symmetry_space_group_name_H-M 'C m m m'
_symmetry_Int_Tables_number 65
_symmetry_space_group_name_Hall '-C 2 2'
loop_
_atom_site_label
_atom_site_type_symbol
_atom_site_fract_x
_atom_site_fract_y
_atom_site_fract_z
Pu1 Pu 0.0000 0.2157 0.0000
Cd1 Cd 0.0000 0.0000 0.5000
Pb1 Pb 0.2038 0.5000 0.0000
Pb2 Pb 0.2500 0.2500 0.5000

---

13.
# PuCdSbPb, relaxed, DFT PBE-GGA
# calculated total energy: -5.870 eV/atom
# total moment: 23.51 μB per cell
data_PuCdSbPb
_chemical_formula_sum 'Pu4 Cd4 Sb4 Pb4'
_cell_length_a 7.6548
_cell_length_b 7.6548
_cell_length_c 7.6548
_cell_angle_alpha 90.00
_cell_angle_beta 90.00
_cell_angle_gamma 90.00
_symmetry_space_group_name_H-M 'F -4 3 m'
_symmetry_Int_Tables_number 216
_symmetry_space_group_name_Hall 'F -4 2 3'
loop_
_atom_site_label
_atom_site_type_symbol
_atom_site_fract_x
_atom_site_fract_y
_atom_site_fract_z
Pu1 Pu 0.0000 0.0000 0.0000
Cd1 Cd 0.2500 0.2500 0.7500
Sb1 Sb 0.2500 0.2500 0.2500
Pb1 Pb 0.0000 0.0000 0.5000

---

14.
# SrPuCdPb, relaxed, DFT PBE-GGA
# energy relative to the elements: -206 meV/atom
# total moment: 24.47 μB per cell
data_SrPuCdPb
_chemical_formula_sum 'Sr4 Pu4 Cd4 Pb4'
_cell_length_a 7.9331
_cell_length_b 7.9331
_cell_length_c 7.9331
_cell_angle_alpha 90.00
_cell_angle_beta 90.00
_cell_angle_gamma 90.00
_symmetry_space_group_name_H-M 'F -4 3 m'
_symmetry_Int_Tables_number 216
_symmetry_space_group_name_Hall 'F -4 2 3'
loop_
_atom_site_label
_atom_site_type_symbol
_atom_site_fract_x
_atom_site_fract_y
_atom_site_fract_z
Sr1 Sr 0.0000 0.0000 0.0000
Pu1 Pu 0.0000 0.0000 0.5000
Cd1 Cd 0.2500 0.2500 0.2500
Pb1 Pb 0.2500 0.2500 0.7500